The following is a PBE calculation of a relaxed CaMgS2 crystal, from Alexandria via LeMat-Bulk.

Calculated values
For the total energy, the calculation gives -4.29 eV per atom.

Cell and atoms, written as extended XYZ:
```
4
Lattice="1.010 -5.733 5.142 4.950 -4.179 4.284 2.379 -2.122 7.082" Properties=species:S:1:pos:R:3 pbc="T T T"
Mg 0.000 0.000 0.000
Ca 4.169 -6.017 8.254
S 7.486 -10.803 14.819
S 0.853 -1.231 1.689
```

---

The following is a PBE calculation of a relaxed ThSbRuO crystal, from Alexandria via LeMat-Bulk.

Calculated values
For the total energy, the calculation gives -8.13 eV per atom.

Cell and atoms, written as extended XYZ:
```
8
Lattice="-1.899 -3.780 0.862 3.200 -2.071 -2.029 4.096 -0.474 6.944" Properties=species:S:1:pos:R:3 pbc="T T T"
Th 5.092 -1.440 4.905
Th -0.345 -1.960 1.455
Sb 1.817 -2.211 5.122
Sb 2.929 -1.189 1.239
Ru 2.048 -0.237 3.472
Ru 2.698 -3.163 2.889
O 0.650 -2.925 -0.583
O 0.000 0.000 0.000
```

---

The following is a PBE calculation of a relaxed LiCuIrCl6 crystal, from Alexandria via LeMat-Bulk.

Calculated values
For the total energy, the calculation gives -3.60 eV per atom.

Cell and atoms, written as extended XYZ:
```
18
Lattice="5.796 0.000 0.000 0.000 5.796 0.000 0.000 0.000 11.010" Properties=species:S:1:pos:R:3 pbc="T T T"
Li 2.898 2.898 1.840
Li 0.000 0.000 7.345
Cu 2.898 2.898 5.468
Cu 0.000 0.000 10.973
Ir 2.898 2.898 9.192
Ir 0.000 0.000 3.687
Cl 1.127 4.669 5.430
Cl 4.669 1.127 5.430
Cl 1.771 1.771 10.935
Cl 4.025 4.025 10.935
Cl 1.093 4.703 1.904
Cl 4.703 1.093 1.904
Cl 1.805 1.805 7.410
Cl 3.991 3.991 7.410
Cl 4.569 1.227 9.189
Cl 1.227 4.569 9.189
Cl 4.125 4.125 3.684
Cl 1.671 1.671 3.684
```

---

The following is a PBE calculation of a relaxed KTa2Br crystal, from Alexandria via LeMat-Bulk.

Calculated values
For the total energy, the calculation gives -6.01 eV per atom. As for the energy above the most stable polymorph in this dataset: 402 meV/atom.

Cell and atoms, written as extended XYZ:
```
4
Lattice="-4.869 4.033 -2.698 -4.134 -0.996 -5.400 2.585 -1.474 6.196" Properties=species:S:1:pos:R:3 pbc="T T T"
Br -3.392 2.039 -0.275
K -3.025 -0.475 -1.627
Ta -8.697 2.934 -7.824
Ta -4.806 1.621 -4.323
```

---

The following is a PBE calculation of a relaxed CdI2Cl crystal, from Alexandria via LeMat-Bulk.

Calculated values
For the total energy, the calculation gives -1.43 eV per atom. As for the energy above the most stable polymorph in this dataset: 221 meV/atom.

Cell and atoms, written as extended XYZ:
```
4
Lattice="0.000 3.846 3.846 3.846 0.000 3.846 3.846 3.846 0.000" Properties=species:S:1:pos:R:3 pbc="T T T"
I 1.923 1.923 1.923
I 5.769 5.769 5.769
Cl 0.000 0.000 0.000
Cd 3.846 3.846 3.846
```

---

The following is a PBE calculation of a relaxed Nd3Sm6Dy2 crystal, from Alexandria via LeMat-Bulk.

Calculated values
For the total energy, the calculation gives -4.44 eV per atom. As for the energy above the most stable polymorph in this dataset: 256 meV/atom.

Cell and atoms, written as extended XYZ:
```
11
Lattice="4.821 0.000 0.000 0.000 4.821 0.000 -2.410 -2.410 16.800" Properties=species:S:1:pos:R:3 pbc="T T T"
Nd 0.000 0.000 0.000
Nd 2.410 2.410 10.021
Nd 0.000 0.000 6.779
Sm 0.000 2.410 4.019
Sm 2.410 0.000 4.019
Sm 2.410 0.000 12.781
Sm 0.000 2.410 12.781
Sm 2.410 2.410 6.570
Sm 0.000 0.000 10.230
Dy 0.000 0.000 15.269
Dy 2.410 2.410 1.531
```

---

The following is a PBE calculation of a relaxed YCdIn crystal, from Alexandria via LeMat-Bulk.

Calculated values
For the total energy, the calculation gives -3.56 eV per atom.

Cell and atoms, written as extended XYZ:
```
3
Lattice="5.603 -0.019 -0.009 2.559 4.984 0.009 -3.651 -3.190 2.809" Properties=species:S:1:pos:R:3 pbc="T T T"
Cd 8.142 4.953 0.000
In 5.471 3.328 0.000
Y 2.711 1.649 0.000
```

---

The following is a PBE calculation of a relaxed Pr8Pd2Pb crystal, from Alexandria via LeMat-Bulk.

Calculated values
For the total energy, the calculation gives -5.12 eV per atom.

Cell and atoms, written as extended XYZ:
```
11
Lattice="5.115 0.000 0.000 0.000 8.206 -0.162 -2.557 -3.716 8.157" Properties=species:S:1:pos:R:3 pbc="T T T"
Pr 0.000 1.364 6.530
Pr 2.557 6.645 2.845
Pr 2.557 3.496 5.051
Pr 2.557 -1.387 7.322
Pr 0.000 0.993 2.944
Pr 0.000 -2.156 5.149
Pr 2.557 3.126 1.464
Pr 0.000 5.876 0.673
Pd 2.557 0.582 4.976
Pd 0.000 3.908 3.019
Pb 2.557 0.000 0.000
```